1.
AcSn2Pt: relaxed, PBE.

```
data_AcSn2Pt
_cell_length_a 9.3490
_cell_length_b 9.3490
_cell_length_c 9.7146
_cell_angle_alpha 90.00
_cell_angle_beta 90.00
_cell_angle_gamma 150.27
_space_group_name_H-M_alt 'P 1'
_space_group_IT_number 1
_space_group_name_Hall 'P 1'
loop_
_atom_site_label
_atom_site_fract_x
_atom_site_fract_y
_atom_site_fract_z
Ac1 0.7976 0.2024 0.2500
Ac2 0.2024 0.7976 0.7500
Sn1 0.5865 0.4135 0.2500
Sn2 0.8033 0.1967 0.5931
Sn3 0.8033 0.1967 0.9069
Sn4 0.4135 0.5865 0.7500
Ac3 0.0000 0.0000 0.0000
Pt1 0.3505 0.6495 0.0055
Sn5 0.1967 0.8033 0.0931
Pt2 0.6495 0.3505 0.9945
Ac4 0.0000 0.0000 0.5000
Sn6 0.5722 0.4278 0.7500
Sn7 0.1967 0.8033 0.4069
Sn8 0.4278 0.5722 0.2500
Pt3 0.3505 0.6495 0.4945
Pt4 0.6495 0.3505 0.5055
```

Results
- Raw total energy: -5.380 eV per atom
- Total magnetic moment: 0.00 μB per atom

---

2.
SrAcPt: relaxed, PBE.

```
data_SrAcPt
_cell_length_a 5.2456
_cell_length_b 5.2456
_cell_length_c 5.2456
_cell_angle_alpha 60.00
_cell_angle_beta 60.00
_cell_angle_gamma 60.00
_space_group_name_H-M_alt 'P 1'
_space_group_IT_number 1
_space_group_name_Hall 'P 1'
loop_
_atom_site_label
_atom_site_fract_x
_atom_site_fract_y
_atom_site_fract_z
Pt1 0.0000 0.0000 0.0000
Ac1 0.2500 0.2500 0.2500
Sr1 0.7500 0.7500 0.7500
```

Results
- Raw total energy: -4.611 eV per atom
- Energy above the lowest structure with this stoichiometry: 0.0 meV per atom
- Total magnetic moment: 0.00 μB per atom

---

Please write out number 2 again, unchanged.
SrAcPt: relaxed, PBE.

```
data_SrAcPt
_cell_length_a 5.2456
_cell_length_b 5.2456
_cell_length_c 5.2456
_cell_angle_alpha 60.00
_cell_angle_beta 60.00
_cell_angle_gamma 60.00
_space_group_name_H-M_alt 'P 1'
_space_group_IT_number 1
_space_group_name_Hall 'P 1'
loop_
_atom_site_label
_atom_site_fract_x
_atom_site_fract_y
_atom_site_fract_z
Pt1 0.0000 0.0000 0.0000
Ac1 0.2500 0.2500 0.2500
Sr1 0.7500 0.7500 0.7500
```

Results
- Raw total energy: -4.611 eV per atom
- Energy above the lowest structure with this stoichiometry: 0.0 meV per atom
- Total magnetic moment: 0.00 μB per atom

---

- Which of these has the lowest raw total energy?
  AcSn2Pt